# Y3MgN GGA-PBE relaxed
data_Y3MgN
_space_group_name_H-M_alt 'P 1'
_space_group_IT_number 1
_space_group_name_Hall 'P 1'
_cell_length_a 3.6656
_cell_length_b 6.3217
_cell_length_c 6.3217
_cell_angle_alpha 69.82
_cell_angle_beta 90.00
_cell_angle_gamma 90.00
loop_
_atom_site_label
_atom_site_type_symbol
_atom_site_fract_x
_atom_site_fract_y
_atom_site_fract_z
_atom_site_occupancy
Y1 Y 0.0000 0.0000 0.0000 1
Y2 Y 0.5000 0.0057 0.5075 1
Y3 Y 0.5000 0.5075 0.0057 1
Mg1 Mg 0.0000 0.5048 0.5048 1
N1 N 0.5000 0.8744 0.8744 1
# **Total magnetic moment**: 0.117 μB/atom
# **SG**: Amm2
# **Raw formation energy**: -495 meV per atom
# **Calculated total energy**: -6.358 eV/atom
# **DOS(E_F)**: 3.86 states/eV per cell